[1]
A geometry-optimized TaAlCu2 structure, computed with PBE.

Cell: 4.0158 2.7614 5.4253 Å, 75.15 90.00 90.00°
Fractional coordinates of all 4 atoms:
Ta  0.0000  0.5604  0.5059
Al  0.5000  0.9328  0.7604
Cu  0.0000  0.8060  0.0109
Cu  0.5000  0.2008  0.2228

Spin magnetization ... 0.0 Bohr magnetons per cell
E_tot ... -5.96 eV/atom


[2]
A geometry-optimized TaAlCu2 structure, computed with PBE.

Cell: 2.8371 2.8371 7.0718 Å, 90.00 90.00 90.00°
Fractional coordinates of all 4 atoms:
Ta  0.0000  0.0000  0.4929
Cu  0.0000  0.0000  0.0046
Cu  0.5000  0.5000  0.2239
Al  0.5000  0.5000  0.7785

Spin magnetization ... 0.0 Bohr magnetons per cell
E_tot ... -6.08 eV/atom


[3]
A geometry-optimized TaAl2Cu structure, computed with PBE.

Cell: 2.8939 2.8939 7.1659 Å, 90.00 90.00 90.00°
Fractional coordinates of all 4 atoms:
Al  0.0000  0.0000  0.0278
Al  0.0000  0.0000  0.4722
Ta  0.5000  0.5000  0.7500
Cu  0.5000  0.5000  0.2500

Spin magnetization ... 0.0 Bohr magnetons per cell
E_tot ... -6.07 eV/atom


[4]
A geometry-optimized TaAlCu2 structure, computed with PBE.

Cell: 4.7902 4.7902 2.6999 Å, 90.00 90.00 108.88°
Fractional coordinates of all 4 atoms:
Cu  0.0000  0.0000  0.0000
Cu  0.5000  0.5000  0.0000
Al  0.0000  0.5000  0.5000
Ta  0.5000  0.0000  0.5000

Spin magnetization ... 0.0 Bohr magnetons per cell
E_tot ... -5.86 eV/atom


[5]
A geometry-optimized TaAl2Cu structure, computed with PBE.

Cell: 3.9656 3.9656 3.8144 Å, 90.00 90.00 90.00°
Fractional coordinates of all 4 atoms:
Al  0.5000  0.5000  0.0000
Al  0.0000  0.0000  0.0000
Cu  0.5000  0.0000  0.5000
Ta  0.0000  0.5000  0.5000

Spin magnetization ... 0.0 Bohr magnetons per cell
E_tot ... -6.11 eV/atom


[6]
A geometry-optimized TaAlCu4 structure, computed with PBE.

Cell: 4.8550 4.8550 4.8550 Å, 60.00 60.00 60.00°
Fractional coordinates of all 6 atoms:
Cu  0.3752  0.8744  0.3752
Cu  0.3752  0.3752  0.3752
Cu  0.3752  0.3752  0.8744
Cu  0.8744  0.3752  0.3752
Ta  0.7500  0.7500  0.7500
Al  0.0000  0.0000  0.0000

Spin magnetization ... 0.0 Bohr magnetons per cell
E_tot ... -5.27 eV/atom


Formation enthalpy at 0 K list, top to bottom, in eV/f.u.: -0.06 -0.52 -0.86 0.34 -1.02 0.37